Entry 1:
# YPuZnSi

A relaxed structure of YPuZnSi (PBE, Alexandria).

N(E_F)	2.18	states/eV/atom
energy relative to the elements, uncorrected	-1.295	eV/f.u.

Unit cell a=7.0617 b=7.0617 c=7.0617 alpha=90.00 beta=90.00 gamma=90.00
Closest atoms and distances in Å follow each position.
Space group F-43m (No. 216)
One atom of each set of equivalent atoms:
Y: 0.0000 0.0000 0.0000 (multiplicity 4)  4 Si 3.06, 4 Zn 3.06
Pu: 0.0000 0.0000 0.5000 (multiplicity 4)  4 Si 3.06, 4 Zn 3.06
Zn: 0.2500 0.2500 0.2500 (multiplicity 4)  4 Pu 3.06, 4 Y 3.06
Si: 0.2500 0.2500 0.7500 (multiplicity 4)  4 Pu 3.06, 4 Y 3.06

***

Entry 2:
# BaCo2P

A relaxed structure of BaCo2P (PBE, Alexandria).

calculated formation energy	-5.00	kcal/mol of atoms
N(E_F)	1.21	states/eV/atom

Unit cell a=3.8157 b=3.8157 c=5.5964 alpha=90.00 beta=90.00 gamma=90.00
Closest atoms and distances in Å follow each position.
Space group P4mm (No. 99)
One atom of each set of equivalent atoms:
Ba: 0.0000 0.0000 0.0000 (multiplicity 1)  8 Co 3.30-3.48, 4 P 3.31
Co: 0.0000 0.5000 0.4808 (multiplicity 2)  2 P 2.15
P: 0.5000 0.5000 0.6561 (multiplicity 1)  4 Co 2.15

***

Entry 3:
# La3Dy6Ho2Th

A relaxed structure of La3Dy6Ho2Th (PBE, Alexandria).

calculated formation energy	0.50	kcal/mol of atoms
N(E_F)	1.34	states/eV/atom

Unit cell a=6.2233 b=10.7775 c=11.8838 alpha=90.00 beta=100.07 gamma=90.00
Closest atoms and distances in Å follow each position.
Space group C2/m (No. 12)
One atom of each set of equivalent atoms:
La: 0.0000 0.0000 0.0000 (multiplicity 2)  6 La 3.59-3.60, 6 Dy 3.64-3.65
La: 0.0000 0.3329 0.0000 (multiplicity 4)  6 La 3.59-3.60, 6 Dy 3.64-3.65
Dy: 0.2465 0.3348 0.7439 (multiplicity 8)  1 Th 3.52, 2 Ho 3.53, 6 Dy 3.56-3.61, 3 La 3.64-3.65
Dy: 0.2488 0.5000 0.2559 (multiplicity 4)  1 Th 3.52, 2 Ho 3.54, 6 Dy 3.56-3.61, 3 La 3.64-3.65
Ho: 0.0000 0.1668 0.5000 (multiplicity 4)  6 Dy 3.53-3.54, 3 Th 3.59, 3 Ho 3.59
Th: 0.0000 0.5000 0.5000 (multiplicity 2)  6 Dy 3.52, 6 Ho 3.59

***

Entry 4:
# TiVCd2Ge

A relaxed structure of TiVCd2Ge (PBE, Alexandria).

calculated formation energy	21.59	kcal/mol of atoms
N(E_F)	1.36	states/eV/atom

Unit cell a=4.9663 b=4.9663 c=4.7084 alpha=90.00 beta=90.00 gamma=90.00
Closest atoms and distances in Å follow each position.
Space group P4/mmm (No. 123)
One atom of each set of equivalent atoms:
Ti: 0.0000 0.0000 0.0000 (multiplicity 1)  8 Cd 3.42, 4 V 3.51
V: 0.5000 0.5000 0.0000 (multiplicity 1)  2 Ge 2.35
Cd: 0.0000 0.5000 0.5000 (multiplicity 2)  2 Ge 2.48
Ge: 0.5000 0.5000 0.5000 (multiplicity 1)  2 V 2.35, 4 Cd 2.48

***

Entry 5:
# LaScOs2

A relaxed structure of LaScOs2 (PBE, Alexandria).

polymorph energy (0 for the lowest one)	51	meV/atom
calculated formation energy	2.24	kcal/mol of atoms
N(E_F)	0.59	states/eV/atom

Unit cell a=2.9709 b=2.9709 c=9.2845 alpha=90.00 beta=90.00 gamma=90.00
Closest atoms and distances in Å follow each position.
Space group P4mm (No. 99)
One atom of each set of equivalent atoms:
La: 0.0000 0.0000 0.0000 (multiplicity 1)  4 La 2.97, 4 Os 3.21
Sc: 0.5000 0.5000 0.6435 (multiplicity 1)  4 Os 2.88, 4 Sc 2.97
Os: 0.0000 0.0000 0.4314 (multiplicity 1)  4 Os 2.62, 4 Sc 2.88
Os: 0.5000 0.5000 0.2620 (multiplicity 1)  4 Os 2.62

***

Entry 6:
# PuTh2RhN5

A relaxed structure of PuTh2RhN5 (PBE, Alexandria).

N(E_F)	0.69	states/eV/atom
energy relative to the elements, uncorrected	-9.104	eV/f.u.

Unit cell a=3.4640 b=13.5889 c=10.7054 alpha=90.00 beta=90.00 gamma=90.00
Closest atoms and distances in Å follow each position.
Space group Cmc2_1 (No. 36)
One atom of each set of equivalent atoms:
Pu: 0.0000 0.2028 0.0000 (multiplicity 4)  6 N 2.13-2.36
Th: 0.0000 0.1016 0.6761 (multiplicity 4)  6 N 2.41-2.69
Th: 0.0000 0.1425 0.2925 (multiplicity 4)  7 N 2.46-2.72
Rh: 0.0000 0.4756 0.4430 (multiplicity 4)  5 N 2.03-2.20
N: 0.0000 0.0532 0.0580 (multiplicity 4)  1 Pu 2.13, 2 Rh 2.16
N: 0.0000 0.2778 0.6477 (multiplicity 4)  2 Pu 2.36, 3 Th 2.41-2.56
N: 0.0000 0.3276 0.3602 (multiplicity 4)  1 Rh 2.20, 2 Pu 2.33
N: 0.0000 0.3661 0.9880 (multiplicity 4)  1 Rh 2.20, 1 Pu 2.22
N: 0.0000 0.4834 0.7610 (multiplicity 4)  1 Rh 2.03

***

Entry 7:
# Ce2CuNi4As3

A relaxed structure of Ce2CuNi4As3 (PBE, Alexandria).

calculated formation energy	-17.18	kcal/mol of atoms
N(E_F)	0.96	states/eV/atom

Unit cell a=4.1036 b=4.1036 c=9.5791 alpha=90.00 beta=90.00 gamma=90.00
Closest atoms and distances in Å follow each position.
Space group P-4m2 (No. 115)
One atom of each set of equivalent atoms:
Ce: 0.0000 0.5000 0.2483 (multiplicity 2)  6 As 3.11-3.17, 8 Ni 3.14, 2 Cu 3.17
Cu: 0.0000 0.0000 0.5000 (multiplicity 1)  4 Ni 2.38
Ni: 0.0000 0.0000 0.0000 (multiplicity 1)  4 As 2.41
Ni: 0.0000 0.5000 0.6260 (multiplicity 2)  3 As 2.32-2.38, 2 Cu 2.38
Ni: 0.5000 0.5000 0.0000 (multiplicity 1)  4 As 2.41
As: 0.0000 0.5000 0.8685 (multiplicity 2)  5 Ni 2.32-2.41
As: 0.5000 0.5000 0.5000 (multiplicity 1)  4 Ni 2.38

***

Entry 8:
# EuMg3Au

A relaxed structure of EuMg3Au (PBE, Alexandria).

calculated formation energy	-5.70	kcal/mol of atoms
N(E_F)	2.49	states/eV/atom

Unit cell a=5.1726 b=5.1726 c=5.1726 alpha=90.00 beta=90.00 gamma=90.00
Closest atoms and distances in Å follow each position.
Space group Pm-3m (No. 221)
One atom of each set of equivalent atoms:
Eu: 0.0000 0.0000 0.0000 (multiplicity 1)  12 Mg 3.66
Mg: 0.0000 0.5000 0.5000 (multiplicity 3)  2 Au 2.59
Au: 0.5000 0.5000 0.5000 (multiplicity 1)  6 Mg 2.59

***

Entry 9:
# La4Nd7Er

A relaxed structure of La4Nd7Er (PBE, Alexandria).

polymorph energy (0 for the lowest one)	0	meV/atom
calculated formation energy	0.36	kcal/mol of atoms
N(E_F)	1.74	states/eV/atom

Unit cell a=6.3915 b=7.3652 c=9.7609 alpha=79.20 beta=70.91 gamma=89.91
Closest atoms and distances in Å follow each position.
Space group P-1 (No. 2)
One atom of each set of equivalent atoms:
La: 0.1680 0.4151 0.3323 (multiplicity 2)  9 Nd 3.68-3.71, 3 La 3.69-3.72
La: 0.3303 0.8354 0.6696 (multiplicity 2)  1 Er 3.65, 8 Nd 3.66-3.74, 3 La 3.69-3.72
Nd: 0.0000 0.5000 0.0000 (multiplicity 1)  6 Nd 3.67-3.71, 4 La 3.68-3.69, 2 Er 3.68
Nd: 0.1667 0.9165 0.3305 (multiplicity 2)  5 Nd 3.65-3.73, 6 La 3.66-3.73, 1 Er 3.66
Nd: 0.3318 0.3325 0.6694 (multiplicity 2)  6 La 3.66-3.74, 5 Nd 3.66-3.73, 1 Er 3.67
Nd: 0.4988 0.2477 0.9995 (multiplicity 2)  7 Nd 3.65-3.72, 2 Er 3.67-3.69, 3 La 3.68-3.70
Er: 0.0000 0.0000 0.0000 (multiplicity 1)  2 La 3.65, 10 Nd 3.66-3.69

***

Entry 10:
# La3Mo

A relaxed structure of La3Mo (PBE, Alexandria).

polymorph energy (0 for the lowest one)	256	meV/atom
calculated formation energy	10.68	kcal/mol of atoms
N(E_F)	1.22	states/eV/atom

Unit cell a=4.4817 b=4.7944 c=5.3643 alpha=90.00 beta=90.00 gamma=90.00
Closest atoms and distances in Å follow each position.
Space group Pmm2 (No. 25)
One atom of each set of equivalent atoms:
La: 0.0000 0.0000 0.0000 (multiplicity 1)  4 Mo 3.30, 8 La 3.31-3.68
La: 0.0000 0.5000 0.4822 (multiplicity 1)  2 Mo 3.28, 8 La 3.30-3.67
La: 0.5000 0.0000 0.5450 (multiplicity 1)  2 Mo 3.16, 6 La 3.30-3.31
Mo: 0.5000 0.5000 0.9281 (multiplicity 1)  8 La 3.16-3.30

***

Entry 11:
# Dy2In3Sn3

A relaxed structure of Dy2In3Sn3 (PBE, Alexandria).

calculated formation energy	-9.72	kcal/mol of atoms
N(E_F)	0.46	states/eV/atom

Unit cell a=4.6070 b=4.8432 c=9.1454 alpha=90.00 beta=90.00 gamma=90.00
Closest atoms and distances in Å follow each position.
Space group Pmmm (No. 47)
One atom of each set of equivalent atoms:
Dy: 0.0000 0.0000 0.2491 (multiplicity 2)  6 Sn 3.24-3.33, 6 In 3.34
In: 0.0000 0.5000 0.5000 (multiplicity 1)  4 In 3.22, 4 Dy 3.34, 4 Sn 3.34
In: 0.5000 0.5000 0.2539 (multiplicity 2)  2 In 3.22, 6 Sn 3.27-3.35, 4 Dy 3.34
Sn: 0.0000 0.5000 0.0000 (multiplicity 1)  4 In 3.27, 4 Dy 3.33, 4 Sn 3.34
Sn: 0.5000 0.0000 0.0000 (multiplicity 1)  4 Dy 3.24, 4 Sn 3.34, 4 In 3.35
Sn: 0.5000 0.0000 0.5000 (multiplicity 1)  4 Dy 3.25, 8 In 3.31-3.34

***

Entry 12:
# La12AlZn6

A relaxed structure of La12AlZn6 (PBE, Alexandria).

calculated formation energy	-2.72	kcal/mol of atoms
N(E_F)	1.01	states/eV/atom

Unit cell a=11.2173 b=11.2173 c=14.8058 alpha=90.00 beta=90.00 gamma=120.00
Closest atoms and distances in Å follow each position.
Space group R-3 (No. 148, hexagonal axes)
One atom of each set of equivalent atoms:
La: 0.0284 0.8293 0.3220 (multiplicity 18)  2 La 3.08-3.38, 3 Zn 3.19-3.24, 1 Al 3.37
La: 0.0587 0.2117 0.8990 (multiplicity 18)  3 La 3.24-3.56, 3 Zn 3.28-3.44
Al: 0.0000 0.0000 0.5000 (multiplicity 3)  6 Zn 2.89
Zn: 0.0539 0.6027 0.2011 (multiplicity 18)  1 Al 2.89, 2 Zn 3.02, 2 La 3.19-3.24

***

Entry 13:
# TbPu2Hg3

A relaxed structure of TbPu2Hg3 (PBE, Alexandria).

polymorph energy (0 for the lowest one)	0	meV/atom
calculated formation energy	-5.11	kcal/mol of atoms
N(E_F)	3.11	states/eV/atom

Unit cell a=5.3155 b=5.3155 c=6.4811 alpha=90.00 beta=90.00 gamma=120.00
Closest atoms and distances in Å follow each position.
Space group P-3m1 (No. 164)
One atom of each set of equivalent atoms:
Tb: 0.0000 0.0000 0.0000 (multiplicity 1)  8 Hg 3.22-3.24
Pu: 0.3333 0.6667 0.6473 (multiplicity 2)  8 Hg 3.21-3.34
Hg: 0.0000 0.0000 0.5000 (multiplicity 1)  6 Pu 3.21, 2 Tb 3.24
Hg: 0.3333 0.6667 0.1481 (multiplicity 2)  3 Tb 3.22, 5 Pu 3.24-3.34

***

Entry 14:
# MnAgHPd2

A relaxed structure of MnAgHPd2 (PBE, Alexandria).

polymorph energy (0 for the lowest one)	38	meV/atom
N(E_F)	0.22	states/eV/atom

Unit cell a=4.0512 b=4.0512 c=4.0346 alpha=90.00 beta=90.00 gamma=90.00
Closest atoms and distances in Å follow each position.
Space group P4/mmm (No. 123)
One atom of each set of equivalent atoms:
Mn: 0.0000 0.0000 0.0000 (multiplicity 1)  8 Pd 2.86, 4 Ag 2.86
Ag: 0.5000 0.5000 0.0000 (multiplicity 1)  2 H 2.02
H: 0.5000 0.5000 0.5000 (multiplicity 1)  2 Ag 2.02, 4 Pd 2.03
Pd: 0.0000 0.5000 0.5000 (multiplicity 2)  2 H 2.03

***

Entry 15:
# Ac2Se2F

A relaxed structure of Ac2Se2F (PBE, Alexandria).

N(E_F)	0.40	states/eV/atom
energy relative to the elements, uncorrected	-12.294	eV/f.u.

Unit cell a=4.3049 b=18.3500 c=7.0562 alpha=90.00 beta=90.00 gamma=90.00
Closest atoms and distances in Å follow each position.
Space group Cmc2_1 (No. 36)
One atom of each set of equivalent atoms:
Ac: 0.0000 0.0741 0.0000 (multiplicity 4)  1 F 2.59
Ac: 0.0000 0.3252 0.9857 (multiplicity 4)  2 F 2.57
Se: 0.0000 0.2989 0.5171 (multiplicity 4)  5 Ac 3.14-3.34, 3 F 3.50-3.51
Se: 0.0000 0.4744 0.2007 (multiplicity 4)  5 Ac 3.13-3.16
F: 0.0000 0.1195 0.3478 (multiplicity 4)  3 Ac 2.57-2.59

***

Entry 16:
# Ta2AgHRh

A relaxed structure of Ta2AgHRh (PBE, Alexandria).

polymorph energy (0 for the lowest one)	0	meV/atom
N(E_F)	0.67	states/eV/atom

Unit cell a=4.1117 b=4.1117 c=4.0784 alpha=90.00 beta=90.00 gamma=90.00
Closest atoms and distances in Å follow each position.
Space group P4/mmm (No. 123)
One atom of each set of equivalent atoms:
Ta: 0.0000 0.5000 0.0000 (multiplicity 2)  2 H 2.06
Ag: 0.0000 0.0000 0.5000 (multiplicity 1)  8 Ta 2.90, 4 Rh 2.91
H: 0.5000 0.5000 0.0000 (multiplicity 1)  2 Rh 2.04, 4 Ta 2.06
Rh: 0.5000 0.5000 0.5000 (multiplicity 1)  2 H 2.04

***

Entry 17:
# Rb2BeAsCl

A relaxed structure of Rb2BeAsCl (PBE, Alexandria).

N(E_F)	0.57	states/eV/atom
energy relative to the elements, uncorrected	1.085	eV/f.u.

Unit cell a=6.2281 b=6.2281 c=5.0925 alpha=90.00 beta=90.00 gamma=90.00
Closest atoms and distances in Å follow each position.
Space group P4/mmm (No. 123)
One atom of each set of equivalent atoms:
Rb: 0.0000 0.5000 0.0000 (multiplicity 2)  2 Cl 3.11
Be: 0.0000 0.0000 0.5000 (multiplicity 1)  8 Rb 4.02, 4 As 4.40
As: 0.5000 0.5000 0.5000 (multiplicity 1)  2 Cl 2.55
Cl: 0.5000 0.5000 0.0000 (multiplicity 1)  2 As 2.55

***

Entry 18:
# TiNb2Cu

A relaxed structure of TiNb2Cu (PBE, Alexandria).

polymorph energy (0 for the lowest one)	74	meV/atom
calculated formation energy	1.95	kcal/mol of atoms
N(E_F)	0.98	states/eV/atom

Unit cell a=3.3185 b=3.3185 c=5.9335 alpha=90.00 beta=90.00 gamma=90.00
Closest atoms and distances in Å follow each position.
Space group P4/mmm (No. 123)
One atom of each set of equivalent atoms:
Ti: 0.0000 0.0000 0.0000 (multiplicity 1)  8 Nb 2.79, 2 Cu 2.97
Nb: 0.5000 0.5000 0.2556 (multiplicity 2)  4 Cu 2.76, 4 Ti 2.79, 2 Nb 2.90-3.03
Cu: 0.0000 0.0000 0.5000 (multiplicity 1)  8 Nb 2.76, 2 Ti 2.97

***

Entry 19:
# Ac2Ga5Fe

A relaxed structure of Ac2Ga5Fe (PBE, Alexandria).

calculated formation energy	-7.35	kcal/mol of atoms
N(E_F)	0.67	states/eV/atom

Unit cell a=6.2535 b=6.2535 c=9.8394 alpha=90.00 beta=90.00 gamma=90.00
Closest atoms and distances in Å follow each position.
Space group I4mm (No. 107)
One atom of each set of equivalent atoms:
Ac: 0.0000 0.5000 0.0000 (multiplicity 4)  10 Ga 3.16-3.32
Ga: 0.0000 0.0000 0.0493 (multiplicity 2)  1 Fe 2.53, 4 Ga 2.78
Ga: 0.2203 0.2203 0.2502 (multiplicity 8)  1 Fe 2.51, 3 Ga 2.76-2.78
Fe: 0.0000 0.0000 0.7925 (multiplicity 2)  5 Ga 2.51-2.53

***

Entry 20:
# Sr2HgW

A relaxed structure of Sr2HgW (PBE, Alexandria).

calculated formation energy	16.51	kcal/mol of atoms
N(E_F)	0.87	states/eV/atom

Unit cell a=3.7058 b=3.7058 c=9.1191 alpha=90.00 beta=90.00 gamma=90.00
Closest atoms and distances in Å follow each position.
Space group P4mm (No. 99)
One atom of each set of equivalent atoms:
Sr: 0.0000 0.0000 0.0000 (multiplicity 1)  1 W 3.30, 4 Hg 3.41
Sr: 0.5000 0.5000 0.3968 (multiplicity 1)  1 Hg 3.32, 4 W 3.42, 4 Sr 3.71
Hg: 0.5000 0.5000 0.7606 (multiplicity 1)  4 W 2.85
W: 0.0000 0.0000 0.6383 (multiplicity 1)  4 Hg 2.85